A plane-wave DFT calculation with PBE was carried out for a relaxed TlGeAs2 crystal.

ΔH_f (0 K) in eV per atom: 0.139
N(E_F) in states/eV/atom: 0.602
Size of the total moment in μB per formula unit: 0.0
Volume in Å³ per atom: 22.96
Crystal system: trigonal

a b c (Å): 3.8837 3.8837 21.0969
angles (deg): 90.00 90.00 120.00
Last column: nearest neighbours and their distance in Å.
Space group R-3m (No. 166, hexagonal axes)
Unique sites:
Tl  0.0000  0.0000  0.0000 (multiplicity 3)  6 As 3.04
Ge  0.0000  0.0000  0.5000 (multiplicity 3)  6 As 2.68
As  0.0000  0.0000  0.2364 (multiplicity 6)  3 Ge 2.68



A plane-wave DFT calculation with PBE was carried out for a relaxed TlGeAs2 crystal.

ΔH_f (0 K) in eV per atom: 0.098
N(E_F) in states/eV/atom: 0.320
Size of the total moment in μB per formula unit: 0.0
Volume in Å³ per atom: 26.97
Crystal system: monoclinic

a b c (Å): 10.5110 6.5636 6.5776
angles (deg): 90.00 108.05 90.00
Last column: nearest neighbours and their distance in Å.
Space group P2_1/c (No. 14)
Unique sites:
Tl  0.1129  0.1219  0.3063 (multiplicity 4)  3 As 3.06-3.13
Ge  0.3562  0.6103  0.4288 (multiplicity 4)  4 As 2.47-2.49
As  0.1957  0.7489  0.0987 (multiplicity 4)  2 Ge 2.47
As  0.4158  0.2416  0.4600 (multiplicity 4)  2 Ge 2.48-2.49



A plane-wave DFT calculation with PBE was carried out for a relaxed TlGe3As crystal.

ΔH_f (0 K) in eV per atom: 0.594
N(E_F) in states/eV/atom: 0.566
Size of the total moment in μB per formula unit: 0.0
Volume in Å³ per atom: 26.82
Crystal system: cubic

a b c (Å): 5.1183 5.1183 5.1183
angles (deg): 90.00 90.00 90.00
Last column: nearest neighbours and their distance in Å.
Space group Pm-3m (No. 221)
Unique sites:
Tl  0.0000  0.0000  0.0000 (multiplicity 1)  12 Ge 3.62
Ge  0.0000  0.5000  0.5000 (multiplicity 3)  2 As 2.56
As  0.5000  0.5000  0.5000 (multiplicity 1)  6 Ge 2.56



A plane-wave DFT calculation with PBE was carried out for a relaxed TlGe3As crystal.

ΔH_f (0 K) in eV per atom: 1.157
N(E_F) in states/eV/atom: 0.622
Size of the total moment in μB per formula unit: 0.0
Volume in Å³ per atom: 29.77
Crystal system: cubic

a b c (Å): 5.2997 5.2997 5.2997
angles (deg): 90.00 90.00 90.00
Last column: nearest neighbours and their distance in Å.
Space group Pm-3m (No. 221)
Unique sites:
Tl  0.0000  0.0000  0.0000 (multiplicity 1)  6 Ge 2.65
Ge  0.0000  0.0000  0.5000 (multiplicity 3)  2 Tl 2.65
As  0.5000  0.5000  0.5000 (multiplicity 1)  12 Ge 3.75



A plane-wave DFT calculation with PBE was carried out for a relaxed TlGeAs3 crystal.

ΔH_f (0 K) in eV per atom: 1.207
N(E_F) in states/eV/atom: 1.020
Size of the total moment in μB per formula unit: 0.0
Volume in Å³ per atom: 29.50
Crystal system: cubic

a b c (Å): 5.2837 5.2837 5.2837
angles (deg): 90.00 90.00 90.00
Last column: nearest neighbours and their distance in Å.
Space group Pm-3m (No. 221)
Unique sites:
Tl  0.0000  0.0000  0.0000 (multiplicity 1)  6 As 2.64
Ge  0.5000  0.5000  0.5000 (multiplicity 1)  12 As 3.74
As  0.0000  0.0000  0.5000 (multiplicity 3)  2 Tl 2.64



A plane-wave DFT calculation with PBE was carried out for a relaxed Tl2GeAs2 crystal.

ΔH_f (0 K) in eV per atom: 0.138
N(E_F) in states/eV/atom: 0.301
Size of the total moment in μB per formula unit: 0.0
Volume in Å³ per atom: 29.10
Crystal system: monoclinic

a b c (Å): 13.1368 6.3884 8.3674
angles (deg): 90.00 124.02 90.00
Last column: nearest neighbours and their distance in Å.
Space group C2/m (No. 12)
Unique sites:
Tl  0.0786  0.0000  0.3756 (multiplicity 4)  3 As 2.98-3.24
Tl  0.2114  0.5000  0.1295 (multiplicity 4)  5 As 3.23-3.37, 1 Tl 3.46, 1 Ge 3.50
Ge  0.1371  0.5000  0.6572 (multiplicity 4)  3 As 2.36-2.48
As  0.0337  0.5000  0.3027 (multiplicity 4)  2 Ge 2.45-2.48
As  0.1508  0.0000  0.0958 (multiplicity 4)  1 Ge 2.36



A plane-wave DFT calculation with PBE was carried out for a relaxed TlGeAs3 crystal.

ΔH_f (0 K) in eV per atom: 0.564
N(E_F) in states/eV/atom: 0.823
Size of the total moment in μB per formula unit: 0.0
Volume in Å³ per atom: 25.83
Crystal system: cubic

a b c (Å): 5.0545 5.0545 5.0545
angles (deg): 90.00 90.00 90.00
Last column: nearest neighbours and their distance in Å.
Space group Pm-3m (No. 221)
Unique sites:
Tl  0.0000  0.0000  0.0000 (multiplicity 1)  12 As 3.57
Ge  0.5000  0.5000  0.5000 (multiplicity 1)  6 As 2.53
As  0.0000  0.5000  0.5000 (multiplicity 3)  2 Ge 2.53



A plane-wave DFT calculation with PBE was carried out for a relaxed TlGeAs2 crystal.

ΔH_f (0 K) in eV per atom: 0.121
N(E_F) in states/eV/atom: 0.481
Size of the total moment in μB per formula unit: 0.0
Volume in Å³ per atom: 29.64
Crystal system: tetragonal

a b c (Å): 6.3694 6.3694 11.6893
angles (deg): 90.00 90.00 90.00
Last column: nearest neighbours and their distance in Å.
Space group I-42d (No. 122)
Unique sites:
Tl  0.0000  0.0000  0.0000 (multiplicity 4)  4 As 2.86
Ge  0.0000  0.0000  0.5000 (multiplicity 4)  4 As 2.53
As  0.2054  0.2500  0.6250 (multiplicity 8)  2 Ge 2.53



A plane-wave DFT calculation with PBE was carried out for a relaxed Tl3Ge2As4 crystal.

ΔH_f (0 K) in eV per atom: 0.034
N(E_F) in states/eV/atom: 0.379
Size of the total moment in μB per formula unit: 0.0
Volume in Å³ per atom: 27.67
Crystal system: monoclinic

a b c (Å): 14.0298 10.7337 6.6176
angles (deg): 90.00 91.45 90.00
Last column: nearest neighbours and their distance in Å.
Space group C2/c (No. 15)
Unique sites:
Tl  0.0000  0.0949  0.2500 (multiplicity 4)  6 As 3.16-3.29
Tl  0.1138  0.3727  0.9811 (multiplicity 8)  6 As 3.13-3.44
Ge  0.2123  0.1177  0.5829 (multiplicity 8)  4 As 2.47-2.51
As  0.1220  0.3125  0.4926 (multiplicity 8)  2 Ge 2.50-2.51
As  0.1671  0.0872  0.9396 (multiplicity 8)  2 Ge 2.47-2.48



A plane-wave DFT calculation with PBE was carried out for a relaxed Tm2GeAs crystal.

ΔH_f (0 K) in eV per atom: -1.073
N(E_F) in states/eV/atom: 0.199
Size of the total moment in μB per formula unit: 0.0
Volume in Å³ per atom: 23.92
Crystal system: trigonal

a b c (Å): 3.9600 3.9600 21.1347
angles (deg): 90.00 90.00 120.00
Last column: nearest neighbours and their distance in Å.
Space group R-3m (No. 166, hexagonal axes)
Unique sites:
Tm  0.0000  0.0000  0.2465 (multiplicity 6)  3 As 2.84, 3 Ge 2.93
Ge  0.0000  0.0000  0.0000 (multiplicity 3)  6 Tm 2.93
As  0.0000  0.0000  0.5000 (multiplicity 3)  6 Tm 2.84



A plane-wave DFT calculation with PBE was carried out for a relaxed Tm5GeAs4 crystal.

ΔH_f (0 K) in eV per atom: -1.318
N(E_F) in states/eV/atom: 0.419
Size of the total moment in μB per formula unit: 0.0
Volume in Å³ per atom: 23.79
Crystal system: tetragonal

a b c (Å): 9.0974 9.0974 5.7494
angles (deg): 90.00 90.00 90.00
Last column: nearest neighbours and their distance in Å.
Space group I4/m (No. 87)
Unique sites:
Tm  0.0000  0.0000  0.0000 (multiplicity 2)  2 Ge 2.87, 4 As 2.88
Tm  0.1013  0.3017  0.5000 (multiplicity 8)  5 As 2.85-2.88, 1 Ge 2.90
Ge  0.0000  0.0000  0.5000 (multiplicity 2)  6 Tm 2.87-2.90
As  0.0996  0.3004  0.0000 (multiplicity 8)  6 Tm 2.85-2.88



A plane-wave DFT calculation with PBE was carried out for a relaxed Tm8Ge5As crystal.

ΔH_f (0 K) in eV per atom: -0.908
N(E_F) in states/eV/atom: 0.547
Size of the total moment in μB per formula unit: 0.0
Volume in Å³ per atom: 23.42
Crystal system: tetragonal

a b c (Å): 8.6840 8.6840 8.6965
angles (deg): 90.00 90.00 90.00
Last column: nearest neighbours and their distance in Å.
Space group I-4 (No. 82)
Unique sites:
Tm  0.0669  0.1830  0.1921 (multiplicity 8)  5 Ge 2.85-3.17, 1 As 2.86
Tm  0.0680  0.3162  0.5601 (multiplicity 8)  5 Ge 2.85-3.17, 1 As 3.19
Ge  0.0000  0.0000  0.5000 (multiplicity 2)  8 Tm 2.86-3.17
Ge  0.1257  0.2499  0.8761 (multiplicity 8)  8 Tm 2.85-3.17
As  0.0000  0.5000  0.2500 (multiplicity 2)  8 Tm 2.86-3.19



Question: Look up the size of the total moment of the third one.
Answer: 0.0 μB per formula unit